1.
A relaxed Nb5Rh6Au crystal, computed with PBE.

The structure in POSCAR format:
```
Nb5Rh6Au
1.0
-2.0366 3.8598 6.0960
2.0366 -3.8598 6.0960
2.0366 3.8598 -6.0960
Nb Rh Au
5 6 1
Cartesian
0.0000 0.0000 0.0000 Nb
2.0366 0.0000 1.9102 Nb
0.0000 0.0000 4.0317 Nb
0.0000 0.0000 8.1603 Nb
0.0000 3.8598 4.1858 Nb
2.0366 -1.9201 4.0371 Rh
2.0366 1.9484 0.0000 Rh
0.0000 1.9398 2.0589 Rh
2.0366 1.9201 4.0371 Rh
0.0000 1.9114 6.0960 Rh
0.0000 5.7799 2.0589 Rh
0.0000 3.8598 0.0000 Au
```

Properties
Spin magnetization   0.0000 μB/atom
Electronic total energy   -8.531 eV per atom
Formation energy   -0.386 eV per atom
Theoretical density   11.1 g/cm³


2.
A relaxed NbRh2Au crystal, computed with PBE.

The structure in POSCAR format:
```
NbRh2Au
1.0
-3.5343 3.5343 2.8320
3.5343 -3.5343 2.8320
3.5343 3.5343 -2.8320
Nb Rh Au
2 4 2
Cartesian
0.0000 0.0000 0.0000 Nb
0.0000 3.5343 1.4160 Nb
5.3015 1.5621 -0.7080 Rh
1.5621 1.7672 0.7080 Rh
-1.7672 1.9722 2.1240 Rh
1.9722 1.7672 3.5399 Rh
3.5343 0.0000 1.4160 Au
0.0000 0.0000 2.8320 Au
```

Properties
Spin magnetization   0.0000 μB/atom
Electronic total energy   -6.959 eV per atom
Formation energy   0.053 eV per atom
Theoretical density   11.6 g/cm³


3.
A relaxed Nb2Rh4Au crystal, computed with PBE.

The structure in POSCAR format:
```
Nb2Rh4Au
1.0
-1.8740 1.8740 9.0126
1.8740 -1.8740 9.0126
1.8740 1.8740 -9.0126
Nb Rh Au
2 4 1
Cartesian
0.0000 0.0000 2.3571 Nb
0.0000 0.0000 15.6681 Nb
1.8740 0.0000 4.5063 Rh
0.0000 0.0000 6.4261 Rh
0.0000 0.0000 11.5991 Rh
0.0000 1.8740 4.5063 Rh
0.0000 0.0000 9.0126 Au
```

Properties
Spin magnetization   0.0000 μB/atom
Electronic total energy   -7.497 eV per atom
Formation energy   0.049 eV per atom
Theoretical density   10.4 g/cm³


4.
A relaxed Nb6Rh12Au crystal, computed with PBE.

The structure in POSCAR format:
```
Nb6Rh12Au
1.0
6.0342 3.4839 2.6148
-6.0342 3.4839 2.6148
0.0000 -6.9677 2.6148
Nb Rh Au
6 12 1
Cartesian
-2.6824 -1.5487 4.2728 Nb
0.0000 -3.0973 3.5715 Nb
-2.6824 1.5487 3.5715 Nb
2.6824 -1.5487 4.2728 Nb
0.0000 3.0973 4.2728 Nb
2.6824 1.5487 3.5715 Nb
-2.3360 -4.0461 3.9222 Rh
-4.6721 0.0000 3.9222 Rh
-1.3474 -0.7779 2.3499 Rh
1.3474 -0.7779 2.3499 Rh
0.0000 1.5559 2.3499 Rh
2.3360 -4.0461 3.9222 Rh
-2.3360 4.0461 3.9222 Rh
0.0000 -1.5559 5.4944 Rh
-1.3474 0.7779 5.4944 Rh
1.3474 0.7779 5.4944 Rh
4.6721 0.0000 3.9222 Rh
2.3360 4.0461 3.9222 Rh
0.0000 0.0000 0.0000 Au
```

Properties
Spin magnetization   0.0000 μB/atom
Electronic total energy   -8.132 eV per atom
Formation energy   -0.137 eV per atom
Theoretical density   10.0 g/cm³